# AgTe4Ir

An optimized crystal structure of AgTe4Ir (PBE-GGA, Alexandria via LeMat-Bulk).

a = 5.2908 Å, b = 4.1228 Å, c = 7.5759 Å
α = 90.00°, β = 90.83°, γ = 90.00°
Atoms (fractional coordinates):
1 Ag 0.0000 0.0000 0.0000
2 Te 0.2282 0.5000 0.8159
3 Te 0.2798 0.0000 0.3823
4 Te 0.7202 0.0000 0.6177
5 Te 0.7718 0.5000 0.1841
6 Ir 0.0000 0.5000 0.5000

E above lowest polymorph ... 0.0 meV per atom
Total energy ... -25.21 eV for the cell shown
E_form (uncorrected) ... -0.93 eV/f.u.

=====

# AgTe2Ir

An optimized crystal structure of AgTe2Ir (PBE-GGA, Alexandria via LeMat-Bulk).

a = 6.3692 Å, b = 7.5842 Å, c = 3.4575 Å
α = 90.00°, β = 90.00°, γ = 90.00°
Atoms (fractional coordinates):
1 Ag 0.0000 0.0000 0.0000
2 Ag 0.5000 0.5000 0.0000
3 Te 0.2500 0.2500 0.5000
4 Te 0.2500 0.7500 0.5000
5 Te 0.7500 0.2500 0.5000
6 Te 0.7500 0.7500 0.5000
7 Ir 0.0000 0.5000 0.0000
8 Ir 0.5000 0.0000 0.0000

E above lowest polymorph ... 550.5 meV per atom
Total energy ... -32.54 eV for the cell shown
E_form (uncorrected) ... 1.73 eV/f.u.

=====

# AgTe8Ir4

An optimized crystal structure of AgTe8Ir4 (PBE-GGA, Alexandria via LeMat-Bulk).

a = 7.9961 Å, b = 7.9961 Å, c = 7.9961 Å
α = 60.00°, β = 60.00°, γ = 60.00°
Atoms (fractional coordinates):
1 Ag 0.0000 0.0000 0.0000
2 Te 0.3879 0.3879 0.3879
3 Te 0.3879 0.3879 0.8362
4 Te 0.3879 0.8362 0.3879
5 Te 0.4213 0.8596 0.8596
6 Te 0.8362 0.3879 0.3879
7 Te 0.8596 0.4213 0.8596
8 Te 0.8596 0.8596 0.4213
9 Te 0.8596 0.8596 0.8596
10 Ir 0.1300 0.6233 0.6233
11 Ir 0.6233 0.1300 0.6233
12 Ir 0.6233 0.6233 0.1300
13 Ir 0.6233 0.6233 0.6233

Total energy ... -66.38 eV for the cell shown
E_form (uncorrected) ... -2.95 eV/f.u.

=====

# AgTeIr2

An optimized crystal structure of AgTeIr2 (PBE-GGA, Alexandria via LeMat-Bulk).

a = 4.2714 Å, b = 4.2714 Å, c = 7.4942 Å
α = 90.00°, β = 90.00°, γ = 90.00°
Atoms (fractional coordinates):
1 Ag 0.0000 0.0000 0.0000
2 Ag 0.5000 0.5000 0.5000
3 Te 0.0000 0.0000 0.5000
4 Te 0.5000 0.5000 0.0000
5 Ir 0.0000 0.5000 0.2500
6 Ir 0.0000 0.5000 0.7500
7 Ir 0.5000 0.0000 0.2500
8 Ir 0.5000 0.0000 0.7500

Total energy ... -43.84 eV for the cell shown
E_form (uncorrected) ... 1.80 eV/f.u.

=====

# Ag4TeIr

An optimized crystal structure of Ag4TeIr (PBE-GGA, Alexandria via LeMat-Bulk).

a = 5.4517 Å, b = 5.4517 Å, c = 5.4517 Å
α = 60.00°, β = 60.00°, γ = 60.00°
Atoms (fractional coordinates):
1 Ag 0.1244 0.1244 0.1244
2 Ag 0.1244 0.1244 0.6268
3 Ag 0.1244 0.6268 0.1244
4 Ag 0.6268 0.1244 0.1244
5 Te 0.5000 0.5000 0.5000
6 Ir 0.7500 0.7500 0.7500

Total energy ... -20.26 eV for the cell shown
E_form (uncorrected) ... 3.15 eV/f.u.

=====

# Ag2TeIr2

An optimized crystal structure of Ag2TeIr2 (PBE-GGA, Alexandria via LeMat-Bulk).

a = 8.1100 Å, b = 8.1100 Å, c = 2.8635 Å
α = 90.00°, β = 90.00°, γ = 90.00°
Atoms (fractional coordinates):
1 Ag 0.1829 0.3171 0.0000
2 Ag 0.3171 0.8171 0.0000
3 Ag 0.6829 0.1829 0.0000
4 Ag 0.8171 0.6829 0.0000
5 Te 0.0000 0.0000 0.0000
6 Te 0.5000 0.5000 0.0000
7 Ir 0.1112 0.6112 0.5000
8 Ir 0.3888 0.1112 0.5000
9 Ir 0.6112 0.8888 0.5000
10 Ir 0.8888 0.3888 0.5000

E above lowest polymorph ... 111.3 meV per atom
Total energy ... -45.84 eV for the cell shown
E_form (uncorrected) ... 3.65 eV/f.u.

=====

# AgTeIr

An optimized crystal structure of AgTeIr (PBE-GGA, Alexandria via LeMat-Bulk).

a = 3.5521 Å, b = 3.5521 Å, c = 9.5023 Å
α = 90.00°, β = 90.00°, γ = 90.00°
Atoms (fractional coordinates):
1 Ag 0.0000 0.0000 0.0000
2 Ag 0.5000 0.5000 0.5000
3 Te 0.0000 0.0000 0.2934
4 Te 0.5000 0.5000 0.7934
5 Ir 0.0000 0.0000 0.6904
6 Ir 0.5000 0.5000 0.1904

E above lowest polymorph ... 63.3 meV per atom
Total energy ... -27.87 eV for the cell shown
E_form (uncorrected) ... 0.92 eV/f.u.

=====

# AgTe2Ir

An optimized crystal structure of AgTe2Ir (PBE-GGA, Alexandria via LeMat-Bulk).

a = 4.1989 Å, b = 4.1989 Å, c = 9.5644 Å
α = 90.00°, β = 90.00°, γ = 90.00°
Atoms (fractional coordinates):
1 Ag 0.0000 0.0000 0.0000
2 Ag 0.5000 0.5000 0.5000
3 Te 0.0000 0.0000 0.5000
4 Te 0.0000 0.5000 0.2500
5 Te 0.5000 0.0000 0.7500
6 Te 0.5000 0.5000 0.0000
7 Ir 0.0000 0.5000 0.7500
8 Ir 0.5000 0.0000 0.2500

E above lowest polymorph ... 641.5 meV per atom
Total energy ... -31.81 eV for the cell shown
E_form (uncorrected) ... 2.09 eV/f.u.

=====

# AgTe2Ir

An optimized crystal structure of AgTe2Ir (PBE-GGA, Alexandria via LeMat-Bulk).

a = 3.1392 Å, b = 3.5598 Å, c = 7.6869 Å
α = 90.00°, β = 90.00°, γ = 90.00°
Atoms (fractional coordinates):
1 Ag 0.0000 0.0000 0.0000
2 Te 0.5000 0.5000 0.2822
3 Te 0.5000 0.5000 0.7178
4 Ir 0.0000 0.0000 0.5000

E above lowest polymorph ... 457.3 meV per atom
Total energy ... -16.64 eV for the cell shown
E_form (uncorrected) ... 1.35 eV/f.u.

=====

# AgTe2Ir

An optimized crystal structure of AgTe2Ir (PBE-GGA, Alexandria via LeMat-Bulk).

a = 3.0672 Å, b = 3.0672 Å, c = 34.2944 Å
α = 90.00°, β = 90.00°, γ = 120.00°
Atoms (fractional coordinates):
1 Ag 0.0000 0.0000 0.0000
2 Ag 0.3333 0.6667 0.6667
3 Ag 0.6667 0.3333 0.3333
4 Te 0.0000 0.0000 0.4249
5 Te 0.0000 0.0000 0.5751
6 Te 0.3333 0.6667 0.0916
7 Te 0.3333 0.6667 0.2417
8 Te 0.6667 0.3333 0.7583
9 Te 0.6667 0.3333 0.9084
10 Ir 0.0000 0.0000 0.5000
11 Ir 0.3333 0.6667 0.1667
12 Ir 0.6667 0.3333 0.8333

E above lowest polymorph ... 583.7 meV per atom
Total energy ... -48.41 eV for the cell shown
E_form (uncorrected) ... 1.86 eV/f.u.

=====

# AgTeIr2

An optimized crystal structure of AgTeIr2 (PBE-GGA, Alexandria via LeMat-Bulk).

a = 2.9130 Å, b = 4.6985 Å, c = 5.4267 Å
α = 90.00°, β = 101.60°, γ = 90.00°
Atoms (fractional coordinates):
1 Ag 0.0000 0.0000 0.0000
2 Te 0.5000 0.0000 0.5000
3 Ir 0.3628 0.5000 0.2185
4 Ir 0.6372 0.5000 0.7815

Total energy ... -21.62 eV for the cell shown
E_form (uncorrected) ... 2.10 eV/f.u.

=====

# AgTeIr2

An optimized crystal structure of AgTeIr2 (PBE-GGA, Alexandria via LeMat-Bulk).

a = 3.1205 Å, b = 3.6699 Å, c = 5.9949 Å
α = 90.00°, β = 90.00°, γ = 90.00°
Atoms (fractional coordinates):
1 Ag 0.0000 0.0000 0.0000
2 Te 0.0000 0.0000 0.5000
3 Ir 0.5000 0.5000 0.2481
4 Ir 0.5000 0.5000 0.7519

Total energy ... -21.75 eV for the cell shown
E_form (uncorrected) ... 1.96 eV/f.u.